Record 1
Tm8ZnCu2: optimized geometry, PBE-GGA.

Calculated values
D(E_F) (states/eV per atom): 0.835
DFT formation energy (eV per formula unit): -1.65
Total DFT energy (no corrections) (Ry/atom): -0.3133
Polymorph energy (0 for the lowest one) (meV/atom): 0

a = 5.0012 Å, b = 6.7110 Å, c = 8.9602 Å
α = 106.83°, β = 106.21°, γ = 90.00°
Sites, in units of the cell vectors:
Cu: 0.1828 0.7156 0.3657
Cu: 0.8172 0.2844 0.6343
Tm: 0.3273 0.0177 0.6547
Tm: 0.8025 0.6771 0.6050
Tm: 0.4059 0.5367 0.8119
Tm: 0.5941 0.4633 0.1881
Tm: 0.6727 0.9823 0.3453
Tm: 0.9671 0.2173 0.9341
Tm: 0.1975 0.3229 0.3950
Tm: 0.0329 0.7827 0.0659
Zn: 0.5000 0.0000 0.0000

***

Record 2
TmZnCu: optimized geometry, PBE-GGA.

Calculated values
D(E_F) (states/eV per atom): 1.004
DFT formation energy (eV per formula unit): -0.42
Total DFT energy (no corrections) (Ry/atom): -0.2514

a = 4.4318 Å, b = 4.4318 Å, c = 4.4318 Å
α = 60.00°, β = 60.00°, γ = 60.00°
Sites, in units of the cell vectors:
Cu: 0.2500 0.2500 0.2500
Tm: 0.0000 0.0000 0.0000
Zn: 0.5000 0.5000 0.5000

***

Record 3
TmZnCu: optimized geometry, PBE-GGA.

Calculated values
D(E_F) (states/eV per atom): 0.457
DFT formation energy (eV per formula unit): -0.72
Total DFT energy (no corrections) (Ry/atom): -0.2588

a = 4.0564 Å, b = 4.6727 Å, c = 6.1878 Å
α = 90.00°, β = 109.19°, γ = 90.00°
Sites, in units of the cell vectors:
Tm: 0.1036 0.7500 0.2025
Tm: 0.8964 0.2500 0.7975
Zn: 0.3961 0.7500 0.7890
Zn: 0.6039 0.2500 0.2110
Cu: 0.2303 0.2500 0.4684
Cu: 0.7697 0.7500 0.5316

***

Record 4
TmZnCu11: optimized geometry, PBE-GGA.

Calculated values
D(E_F) (states/eV per atom): 0.391
DFT formation energy (eV per formula unit): -1.26
Total DFT energy (no corrections) (Ry/atom): -0.2944

a = 4.8491 Å, b = 6.4901 Å, c = 6.4386 Å
α = 82.03°, β = 67.88°, γ = 68.39°
Sites, in units of the cell vectors:
Cu: 0.0097 0.3514 0.6426
Cu: 0.3476 0.6486 0.6426
Cu: 0.5007 0.2187 0.7795
Cu: 0.5000 0.0000 0.5000
Cu: 0.4993 0.7813 0.2205
Cu: 0.6524 0.3514 0.3574
Cu: 0.9903 0.6486 0.3574
Cu: 0.2802 0.2187 0.2205
Cu: 0.0000 0.5000 0.0000
Cu: 0.0000 0.0000 0.5000
Cu: 0.7198 0.7813 0.7795
Tm: 0.0000 0.0000 0.0000
Zn: 0.5000 0.5000 0.0000

***

Record 5
Tm3Zn2Cu4: optimized geometry, PBE-GGA.

Calculated values
D(E_F) (states/eV per atom): 0.563
DFT formation energy (eV per formula unit): -2.75
Total DFT energy (no corrections) (Ry/atom): -0.2866
Polymorph energy (0 for the lowest one) (meV/atom): 0

a = 4.2854 Å, b = 5.5319 Å, c = 7.9757 Å
α = 72.67°, β = 74.42°, γ = 67.21°
Sites, in units of the cell vectors:
Tm: 0.6475 0.3929 0.3120
Tm: 0.3525 0.6071 0.6880
Tm: 0.0000 0.0000 0.0000
Cu: 0.0765 0.2583 0.5888
Cu: 0.2732 0.3913 0.0623
Cu: 0.7268 0.6087 0.9377
Cu: 0.9235 0.7417 0.4112
Zn: 0.6468 0.0187 0.6877
Zn: 0.3532 0.9813 0.3123

***

Record 6
TmZn3Cu2: optimized geometry, PBE-GGA.

Calculated values
D(E_F) (states/eV per atom): 0.690
DFT formation energy (eV per formula unit): -0.33
Total DFT energy (no corrections) (Ry/atom): -0.2059

a = 5.7600 Å, b = 5.7600 Å, c = 7.7469 Å
α = 68.18°, β = 68.18°, γ = 60.00°
Sites, in units of the cell vectors:
Zn: 0.2513 0.7339 0.2809
Zn: 0.7487 0.2661 0.7191
Zn: 0.7339 0.2513 0.2809
Zn: 0.7339 0.7339 0.2809
Zn: 0.2661 0.7487 0.7191
Zn: 0.2661 0.2661 0.7191
Tm: 0.2113 0.2113 0.3662
Tm: 0.7887 0.7887 0.6338
Cu: 0.5000 0.0000 0.0000
Cu: 0.5000 0.5000 0.0000
Cu: 0.0000 0.5000 0.0000
Cu: 0.0000 0.0000 0.0000

***

Record 7
Tm2ZnCu7: optimized geometry, PBE-GGA.

Calculated values
D(E_F) (states/eV per atom): 0.698
DFT formation energy (eV per formula unit): -1.60
Total DFT energy (no corrections) (Ry/atom): -0.2976

a = 3.7416 Å, b = 3.7416 Å, c = 11.3519 Å
α = 90.00°, β = 90.00°, γ = 90.00°
Sites, in units of the cell vectors:
Tm: 0.0000 0.5000 0.2568
Tm: 0.5000 0.0000 0.7432
Cu: 0.5000 0.0000 0.1475
Cu: 0.5000 0.0000 0.3602
Cu: 0.5000 0.5000 0.5000
Cu: 0.0000 0.0000 0.5000
Cu: 0.0000 0.0000 0.0000
Cu: 0.0000 0.5000 0.8525
Cu: 0.0000 0.5000 0.6398
Zn: 0.5000 0.5000 0.0000

***

Record 8
Tm6Zn5Cu: optimized geometry, PBE-GGA.

Calculated values
D(E_F) (states/eV per atom): 0.889
DFT formation energy (eV per formula unit): -4.03
Total DFT energy (no corrections) (Ry/atom): -0.2531

a = 4.9471 Å, b = 7.0307 Å, c = 7.8299 Å
α = 90.00°, β = 71.58°, γ = 90.00°
Sites, in units of the cell vectors:
Cu: 0.0000 0.0000 0.0000
Tm: 0.5000 0.2458 0.0000
Tm: 0.5000 0.7542 0.0000
Tm: 0.8354 0.2482 0.3291
Tm: 0.1646 0.7518 0.6709
Tm: 0.8354 0.7518 0.3291
Tm: 0.1646 0.2482 0.6709
Zn: 0.0000 0.5000 0.0000
Zn: 0.6696 0.0000 0.6608
Zn: 0.6678 0.5000 0.6644
Zn: 0.3304 0.0000 0.3392
Zn: 0.3322 0.5000 0.3356

***

What did the second record say?
TmZnCu: optimized geometry, PBE-GGA.

Calculated values
D(E_F) (states/eV per atom): 1.004
DFT formation energy (eV per formula unit): -0.42
Total DFT energy (no corrections) (Ry/atom): -0.2514

a = 4.4318 Å, b = 4.4318 Å, c = 4.4318 Å
α = 60.00°, β = 60.00°, γ = 60.00°
Sites, in units of the cell vectors:
Cu: 0.2500 0.2500 0.2500
Tm: 0.0000 0.0000 0.0000
Zn: 0.5000 0.5000 0.5000